[1]
Below is Y3TaF after structural relaxation, with properties calculated at the PBE level.

a b c (Å): 5.526 5.526 5.526
angles (deg): 90.00 90.00 90.00
Fractional coordinates of all 5 atoms:
Y (0.000, 0.000, 0.500)
Y (0.000, 0.500, 0.000)
Y (0.500, 0.000, 0.000)
Ta (0.000, 0.000, 0.000)
F (0.500, 0.500, 0.500)

Calculated values
For the density of states at the Fermi level, the calculation gives 4.340 states/eV/f.u. The space group is Pm-3m, No. 221.



[2]
Below is YTaF3 after structural relaxation, with properties calculated at the PBE level.

a b c (Å): 4.517 4.517 4.517
angles (deg): 90.00 90.00 90.00
Fractional coordinates of all 5 atoms:
Y (0.000, 0.000, 0.000)
Ta (0.500, 0.500, 0.500)
F (0.000, 0.000, 0.500)
F (0.000, 0.500, 0.000)
F (0.500, 0.000, 0.000)

Calculated values
For the density of states at the Fermi level, the calculation gives 5.134 states/eV/f.u. The space group is Pm-3m, No. 221.



[3]
Below is YTa2F after structural relaxation, with properties calculated at the PBE level.

a b c (Å): 4.756 4.756 4.756
angles (deg): 60.00 60.00 60.00
Fractional coordinates of all 4 atoms:
Y (0.000, 0.000, 0.000)
Ta (0.250, 0.250, 0.250)
Ta (0.750, 0.750, 0.750)
F (0.500, 0.500, 0.500)

Calculated values
For the density of states at the Fermi level, the calculation gives 5.701 states/eV/f.u. The space group is Fm-3m, No. 225.



[4]
Below is Ta2ZnF after structural relaxation, with properties calculated at the PBE level.

a b c (Å): 4.390 4.390 4.390
angles (deg): 60.00 60.00 60.00
Fractional coordinates of all 4 atoms:
Ta (0.250, 0.250, 0.250)
Ta (0.750, 0.750, 0.750)
Zn (0.000, 0.000, 0.000)
F (0.500, 0.500, 0.500)

Calculated values
For the density of states at the Fermi level, the calculation gives 7.238 states/eV/f.u. The space group is Fm-3m, No. 225.



[5]
Below is Ta2ZnF after structural relaxation, with properties calculated at the PBE level.

a b c (Å): 9.724 9.724 9.724
angles (deg): 157.33 157.33 32.28
Fractional coordinates of all 8 atoms:
Ta (0.119, 0.625, 0.994)
Ta (0.375, 0.369, 0.494)
Ta (0.631, 0.125, 0.006)
Ta (0.875, 0.881, 0.506)
Zn (0.000, 0.000, 0.000)
Zn (0.750, 0.250, 0.500)
F (0.250, 0.750, 0.500)
F (0.500, 0.500, 0.000)

Calculated values
For the density of states at the Fermi level, the calculation gives 3.037 states/eV/f.u. The space group is I-42d, No. 122.



[6]
Below is TaZn3F after structural relaxation, with properties calculated at the PBE level.

a b c (Å): 4.258 4.258 4.258
angles (deg): 90.00 90.00 90.00
Fractional coordinates of all 5 atoms:
Ta (0.000, 0.000, 0.000)
Zn (0.000, 0.500, 0.500)
Zn (0.500, 0.000, 0.500)
Zn (0.500, 0.500, 0.000)
F (0.500, 0.500, 0.500)

Calculated values
For the density of states at the Fermi level, the calculation gives 3.453 states/eV/f.u. The space group is Pm-3m, No. 221.



[7]
Below is Ta3ZnF after structural relaxation, with properties calculated at the PBE level.

a b c (Å): 4.301 4.301 4.301
angles (deg): 90.00 90.00 90.00
Fractional coordinates of all 5 atoms:
Ta (0.000, 0.000, 0.500)
Ta (0.000, 0.500, 0.000)
Ta (0.500, 0.000, 0.000)
Zn (0.500, 0.500, 0.500)
F (0.000, 0.000, 0.000)

Calculated values
For the density of states at the Fermi level, the calculation gives 4.129 states/eV/f.u. The space group is Pm-3m, No. 221.



[8]
Below is Ta2Zn2F after structural relaxation, with properties calculated at the PBE level.

a b c (Å): 7.522 7.522 7.522
angles (deg): 151.54 151.54 40.68
Fractional coordinates of all 5 atoms:
Ta (0.250, 0.750, 0.500)
Ta (0.750, 0.250, 0.500)
Zn (0.092, 0.092, 0.000)
Zn (0.908, 0.908, 0.000)
F (0.500, 0.500, 0.000)

Calculated values
For the density of states at the Fermi level, the calculation gives 6.086 states/eV/f.u. The space group is I4/mmm, No. 139.



[9]
Below is Ta2Zn2F after structural relaxation, with properties calculated at the PBE level.

a b c (Å): 7.906 7.906 2.688
angles (deg): 90.00 90.00 90.00
Fractional coordinates of all 10 atoms:
Ta (0.183, 0.317, 0.000)
Ta (0.317, 0.817, 0.000)
Ta (0.683, 0.183, 0.000)
Ta (0.817, 0.683, 0.000)
Zn (0.112, 0.612, 0.500)
Zn (0.388, 0.112, 0.500)
Zn (0.612, 0.888, 0.500)
Zn (0.888, 0.388, 0.500)
F (0.000, 0.000, 0.500)
F (0.500, 0.500, 0.500)

Calculated values
For the density of states at the Fermi level, the calculation gives 1.421 states/eV/f.u. The space group is P4/mbm, No. 127.



[10]
Below is TaZn3F after structural relaxation, with properties calculated at the PBE level.

a b c (Å): 5.199 5.199 5.199
angles (deg): 90.00 90.00 90.00
Fractional coordinates of all 5 atoms:
Ta (0.000, 0.000, 0.000)
Zn (0.000, 0.000, 0.500)
Zn (0.000, 0.500, 0.000)
Zn (0.500, 0.000, 0.000)
F (0.500, 0.500, 0.500)

Calculated values
For the density of states at the Fermi level, the calculation gives 5.499 states/eV/f.u. The space group is Pm-3m, No. 221.



[11]
Below is ZrTaF2 after structural relaxation, with properties calculated at the PBE level.

a b c (Å): 6.076 6.076 6.076
angles (deg): 131.37 131.37 71.22
Fractional coordinates of all 8 atoms:
Zr (0.000, 0.000, 0.000)
Zr (0.750, 0.250, 0.500)
Ta (0.250, 0.750, 0.500)
Ta (0.500, 0.500, 0.000)
F (0.122, 0.625, 0.997)
F (0.375, 0.372, 0.497)
F (0.628, 0.125, 0.003)
F (0.875, 0.878, 0.503)

Calculated values
For the density of states at the Fermi level, the calculation gives 2.440 states/eV/f.u. The space group is I-42d, No. 122.



[12]
Below is Zr2TaF after structural relaxation, with properties calculated at the PBE level.

a b c (Å): 5.834 5.834 5.834
angles (deg): 108.34 108.34 111.76
Fractional coordinates of all 8 atoms:
Zr (0.049, 0.625, 0.924)
Zr (0.375, 0.299, 0.424)
Zr (0.701, 0.125, 0.076)
Zr (0.875, 0.951, 0.576)
Ta (0.250, 0.750, 0.500)
Ta (0.500, 0.500, 0.000)
F (0.000, 0.000, 0.000)
F (0.750, 0.250, 0.500)

Calculated values
For the density of states at the Fermi level, the calculation gives 3.251 states/eV/f.u. The space group is I-42d, No. 122.



[13]
Below is ZrTa2F after structural relaxation, with properties calculated at the PBE level.

a b c (Å): 7.151 7.151 7.151
angles (deg): 136.56 136.56 63.11
Fractional coordinates of all 8 atoms:
Zr (0.000, 0.000, 0.000)
Zr (0.750, 0.250, 0.500)
Ta (0.314, 0.125, 0.689)
Ta (0.375, 0.686, 0.811)
Ta (0.436, 0.625, 0.311)
Ta (0.875, 0.564, 0.189)
F (0.250, 0.750, 0.500)
F (0.500, 0.500, 0.000)

Calculated values
For the density of states at the Fermi level, the calculation gives 4.679 states/eV/f.u. The space group is I-42d, No. 122.



[14]
Below is ZrTa3F after structural relaxation, with properties calculated at the PBE level.

a b c (Å): 4.437 4.437 4.437
angles (deg): 90.00 90.00 90.00
Fractional coordinates of all 5 atoms:
Zr (0.000, 0.000, 0.000)
Ta (0.000, 0.500, 0.500)
Ta (0.500, 0.000, 0.500)
Ta (0.500, 0.500, 0.000)
F (0.500, 0.500, 0.500)

Calculated values
For the density of states at the Fermi level, the calculation gives 4.825 states/eV/f.u. The space group is Pm-3m, No. 221.



[15]
Below is ZrTaF2 after structural relaxation, with properties calculated at the PBE level.

a b c (Å): 7.944 7.944 7.944
angles (deg): 20.84 20.84 20.84
Fractional coordinates of all 4 atoms:
Zr (0.000, 0.000, 0.000)
Ta (0.500, 0.500, 0.500)
F (0.403, 0.403, 0.403)
F (0.597, 0.597, 0.597)

Calculated values
For the density of states at the Fermi level, the calculation gives 2.065 states/eV/f.u. The space group is R-3m, No. 166.



[16]
Below is ZrTa2F after structural relaxation, with properties calculated at the PBE level.

a b c (Å): 4.648 4.648 4.648
angles (deg): 60.00 60.00 60.00
Fractional coordinates of all 4 atoms:
Zr (0.000, 0.000, 0.000)
Ta (0.250, 0.250, 0.250)
Ta (0.750, 0.750, 0.750)
F (0.500, 0.500, 0.500)

Calculated values
For the density of states at the Fermi level, the calculation gives 4.827 states/eV/f.u. The space group is Fm-3m, No. 225.



[17]
Below is Zr2TaF after structural relaxation, with properties calculated at the PBE level.

a b c (Å): 4.732 4.732 4.732
angles (deg): 60.00 60.00 60.00
Fractional coordinates of all 4 atoms:
Zr (0.250, 0.250, 0.250)
Zr (0.750, 0.750, 0.750)
Ta (0.000, 0.000, 0.000)
F (0.500, 0.500, 0.500)

Calculated values
For the density of states at the Fermi level, the calculation gives 3.800 states/eV/f.u. The space group is Fm-3m, No. 225.



[18]
Below is ZrTaF2 after structural relaxation, with properties calculated at the PBE level.

a b c (Å): 4.374 4.374 4.374
angles (deg): 60.00 60.00 60.00
Fractional coordinates of all 4 atoms:
Zr (0.000, 0.000, 0.000)
Ta (0.500, 0.500, 0.500)
F (0.250, 0.250, 0.250)
F (0.750, 0.750, 0.750)

Calculated values
For the density of states at the Fermi level, the calculation gives 5.220 states/eV/f.u. The space group is Fm-3m, No. 225.



[19]
Below is ZrTa3F after structural relaxation, with properties calculated at the PBE level.

a b c (Å): 4.980 4.980 4.980
angles (deg): 90.00 90.00 90.00
Fractional coordinates of all 5 atoms:
Zr (0.000, 0.000, 0.000)
Ta (0.000, 0.000, 0.500)
Ta (0.000, 0.500, 0.000)
Ta (0.500, 0.000, 0.000)
F (0.500, 0.500, 0.500)

Calculated values
For the density of states at the Fermi level, the calculation gives 6.925 states/eV/f.u. The space group is Pm-3m, No. 221.



[20]
Below is TbF after structural relaxation, with properties calculated at the PBE level.

a b c (Å): 3.723 3.723 5.790
angles (deg): 90.00 90.00 90.00
Fractional coordinates of all 4 atoms:
Tb (0.250, 0.250, 0.234)
Tb (0.750, 0.750, 0.766)
F (0.250, 0.750, 0.500)
F (0.750, 0.250, 0.500)

Calculated values
For the density of states at the Fermi level, the calculation gives 1.263 states/eV/f.u. The space group is P4/nmm, No. 129.



E_form (uncorrected) readings, ordered: 1.68; -8.15; 3.43; 0.16; 0.65; 0.19; 1.35; 1.64; 1.56; 4.39; -3.57; -1.79; 2.05; 0.24; -5.87; 1.90; -0.03; -2.00; 10.00; -5.14 eV/f.u.
Magnetization readings, ordered: 0.00; 0.88; 0.00; 0.00; 0.00; 0.00; 0.00; 0.00; 0.00; 0.50; 0.00; 0.00; 0.00; 0.00; 0.00; 0.00; 0.00; 0.00; 0.15; 0.00 μB/atom